CdRhW GGA-PBE optimized geometry; VASP energy = -42.33 eV for the cell shown; DOS at the Fermi energy = 1.8 states/eV/f.u.; crystal system = triclinic; energy relative to the elements = 0.02 eV/atom; total magnetic moment = 0.00 Bohr magnetons per cell
1.0
2.848 0.000 0.000
-1.349 5.080 0.000
-0.047 -2.438 7.025
Cd Rh W
2 2 2
Direct
0.161 0.321 0.118 Cd
0.839 0.679 0.882 Cd
0.455 0.909 0.241 Rh
0.545 0.091 0.759 Rh
0.118 0.274 0.517 W
0.882 0.726 0.483 W